# 1
DFT (GGA-PBE) results for an optimized crystal structure of CdFe2Sb2.

Geometry as CIF:
```
data_CdFe2Sb2
_chemical_formula_sum 'Cd4 Fe8 Sb8'
_cell_length_a 6.838
_cell_length_b 3.375
_cell_length_c 16.155
_cell_angle_alpha 90.00
_cell_angle_beta 90.00
_cell_angle_gamma 90.00
_symmetry_space_group_name_H-M 'P n m a'
_symmetry_Int_Tables_number 62
loop_
_symmetry_equiv_pos_as_xyz
'x,y,z'
'-x,-y,-z'
'-x+1/2,-y,z+1/2'
'x+1/2,y,-z+1/2'
'x+1/2,-y+1/2,-z+1/2'
'-x+1/2,y+1/2,z+1/2'
'-x,y+1/2,-z'
'x,-y+1/2,z'
loop_
_atom_site_label
_atom_site_type_symbol
_atom_site_fract_x
_atom_site_fract_y
_atom_site_fract_z
Cd1 Cd 0.010 0.250 0.114
Fe1 Fe 0.175 0.250 0.591
Fe2 Fe 0.234 0.750 0.308
Sb1 Sb 0.071 0.750 0.704
Sb2 Sb 0.180 0.750 0.469
```

Output
- Crystal system: orthorhombic
- Spin magnetization: 3.01 μB/f.u.
- Uncorrected energy: -98.25 eV for the cell shown

=====

# 2
DFT (GGA-PBE) results for an optimized crystal structure of AcPmBe.

Geometry as CIF:
```
data_AcPmBe
_chemical_formula_sum 'Ac4 Pm4 Be4'
_cell_length_a 7.179
_cell_length_b 7.179
_cell_length_c 7.179
_cell_angle_alpha 90.00
_cell_angle_beta 90.00
_cell_angle_gamma 90.00
_symmetry_space_group_name_H-M 'F -4 3 m'
_symmetry_Int_Tables_number 216
_symmetry_space_group_name_Hall 'F -4 2 3'
loop_
_atom_site_label
_atom_site_type_symbol
_atom_site_fract_x
_atom_site_fract_y
_atom_site_fract_z
Ac1 Ac 0.000 0.000 0.000
Pm1 Pm 0.000 0.000 0.500
Be1 Be 0.250 0.250 0.250
```

Output
- Crystal system: cubic
- Spin magnetization: 0.01 μB/f.u.
- Offset from the most stable computed form: 0 meV per atom

=====

# 3
DFT (GGA-PBE) results for an optimized crystal structure of YHoGe2Pt.

Geometry as CIF:
```
data_YHoGe2Pt
_chemical_formula_sum 'Y4 Ho4 Ge8 Pt4'
_cell_length_a 10.477
_cell_length_b 4.341
_cell_length_c 10.376
_cell_angle_alpha 90.00
_cell_angle_beta 117.45
_cell_angle_gamma 90.00
_symmetry_space_group_name_H-M 'C 1 2/m 1'
_symmetry_Int_Tables_number 12
loop_
_symmetry_equiv_pos_as_xyz
'x,y,z'
'-x,-y,-z'
'-x,y,-z'
'x,-y,z'
'x+1/2,y+1/2,z'
'-x+1/2,-y+1/2,-z'
'-x+1/2,y+1/2,-z'
'x+1/2,-y+1/2,z'
loop_
_atom_site_label
_atom_site_type_symbol
_atom_site_fract_x
_atom_site_fract_y
_atom_site_fract_z
Y1 Y 0.009 0.000 0.328
Ho1 Ho 0.188 0.000 0.113
Ge1 Ge 0.027 0.500 0.888
Ge2 Ge 0.144 0.500 0.553
Pt1 Pt 0.227 0.500 0.334
```

Output
- Crystal system: monoclinic
- Spin magnetization: 0.01 μB/f.u.
- Uncorrected energy: -125.70 eV for the cell shown

=====

# 4
DFT (GGA-PBE) results for an optimized crystal structure of SmBPt3.

Geometry as CIF:
```
data_SmBPt3
_chemical_formula_sum 'Sm1 B1 Pt3'
_cell_length_a 4.024
_cell_length_b 4.024
_cell_length_c 5.077
_cell_angle_alpha 90.00
_cell_angle_beta 90.00
_cell_angle_gamma 90.00
_symmetry_space_group_name_H-M 'P 4 m m'
_symmetry_Int_Tables_number 99
loop_
_symmetry_equiv_pos_as_xyz
'x,y,z'
'-y,x,z'
'-x,-y,z'
'y,-x,z'
'-x,y,z'
'y,x,z'
'x,-y,z'
'-y,-x,z'
loop_
_atom_site_label
_atom_site_type_symbol
_atom_site_fract_x
_atom_site_fract_y
_atom_site_fract_z
Sm1 Sm 0.000 0.000 0.000
B1 B 0.500 0.500 0.704
Pt1 Pt 0.000 0.500 0.517
Pt2 Pt 0.500 0.500 0.114
```

Output
- Crystal system: tetragonal
- Spin magnetization: 0.00 μB/f.u.
- Uncorrected energy: -34.08 eV for the cell shown

=====

# 5
DFT (GGA-PBE) results for an optimized crystal structure of ReAsW.

Geometry as CIF:
```
data_ReAsW
_chemical_formula_sum 'Re4 As4 W4'
_cell_length_a 6.002
_cell_length_b 6.002
_cell_length_c 6.002
_cell_angle_alpha 90.00
_cell_angle_beta 90.00
_cell_angle_gamma 90.00
_symmetry_space_group_name_H-M 'F -4 3 m'
_symmetry_Int_Tables_number 216
_symmetry_space_group_name_Hall 'F -4 2 3'
loop_
_atom_site_label
_atom_site_type_symbol
_atom_site_fract_x
_atom_site_fract_y
_atom_site_fract_z
Re1 Re 0.000 0.000 0.000
As1 As 0.000 0.000 0.500
W1 W 0.250 0.250 0.750
```

Output
- Crystal system: cubic
- Spin magnetization: 0.00 μB/f.u.
- Offset from the most stable computed form: 0 meV per atom

=====

# 6
DFT (GGA-PBE) results for an optimized crystal structure of MgNbAsO.

Geometry as CIF:
```
data_MgNbAsO
_chemical_formula_sum 'Mg2 Nb2 As2 O2'
_cell_length_a 3.867
_cell_length_b 6.275
_cell_length_c 5.380
_cell_angle_alpha 90.00
_cell_angle_beta 90.00
_cell_angle_gamma 90.00
_symmetry_space_group_name_H-M 'P m c 21'
_symmetry_Int_Tables_number 26
loop_
_symmetry_equiv_pos_as_xyz
'x,y,z'
'-x,-y,z+1/2'
'-x,y,z'
'x,-y,z+1/2'
loop_
_atom_site_label
_atom_site_type_symbol
_atom_site_fract_x
_atom_site_fract_y
_atom_site_fract_z
Mg1 Mg 0.000 0.001 0.000
Nb1 Nb 0.500 0.357 0.748
As1 As 0.500 0.235 0.248
O1 O 0.000 0.238 0.748
```

Output
- Crystal system: orthorhombic
- Spin magnetization: 0.51 μB/f.u.
- Offset from the most stable computed form: 160 meV per atom

=====

# 7
DFT (GGA-PBE) results for an optimized crystal structure of GdY2Bi3.

Geometry as CIF:
```
data_GdY2Bi3
_chemical_formula_sum 'Gd1 Y2 Bi3'
_cell_length_a 4.4660
_cell_length_b 4.4660
_cell_length_c 11.0145
_cell_angle_alpha 90.00
_cell_angle_beta 90.00
_cell_angle_gamma 120.00
_symmetry_space_group_name_H-M 'P -3 m 1'
_symmetry_Int_Tables_number 164
_symmetry_space_group_name_Hall '-P 3 2"'
loop_
_atom_site_label
_atom_site_type_symbol
_atom_site_fract_x
_atom_site_fract_y
_atom_site_fract_z
Gd1 Gd 0.0000 0.0000 0.0000
Y1 Y 0.3333 0.6667 0.3334
Bi1 Bi 0.0000 0.0000 0.5000
Bi2 Bi 0.3333 0.6667 0.8331
```

Output
- Crystal system: trigonal
- Spin magnetization: 0.00 μB/f.u.
- Uncorrected energy: -35.20 eV for the cell shown

=====

# 8
DFT (GGA-PBE) results for an optimized crystal structure of Ta2TlAg.

Geometry as CIF:
```
data_Ta2TlAg
_chemical_formula_sum 'Ta8 Tl4 Ag4'
_cell_length_a 6.773
_cell_length_b 6.773
_cell_length_c 6.773
_cell_angle_alpha 90.00
_cell_angle_beta 90.00
_cell_angle_gamma 90.00
_symmetry_space_group_name_H-M 'F -4 3 m'
_symmetry_Int_Tables_number 216
_symmetry_space_group_name_Hall 'F -4 2 3'
loop_
_atom_site_label
_atom_site_type_symbol
_atom_site_fract_x
_atom_site_fract_y
_atom_site_fract_z
Ta1 Ta 0.000 0.000 0.000
Ta2 Ta 0.250 0.250 0.250
Tl1 Tl 0.000 0.000 0.500
Ag1 Ag 0.250 0.250 0.750
```

Output
- Crystal system: cubic
- Spin magnetization: 0.01 μB/f.u.
- Uncorrected energy: -103.98 eV for the cell shown

=====

# 9
DFT (GGA-PBE) results for an optimized crystal structure of GaFeRePt.

Geometry as CIF:
```
data_GaFeRePt
_chemical_formula_sum 'Ga4 Fe4 Re4 Pt4'
_cell_length_a 6.099
_cell_length_b 6.099
_cell_length_c 6.099
_cell_angle_alpha 90.00
_cell_angle_beta 90.00
_cell_angle_gamma 90.00
_symmetry_space_group_name_H-M 'F -4 3 m'
_symmetry_Int_Tables_number 216
_symmetry_space_group_name_Hall 'F -4 2 3'
loop_
_atom_site_label
_atom_site_type_symbol
_atom_site_fract_x
_atom_site_fract_y
_atom_site_fract_z
Ga1 Ga 0.000 0.000 0.000
Fe1 Fe 0.250 0.250 0.250
Re1 Re 0.250 0.250 0.750
Pt1 Pt 0.000 0.000 0.500
```

Output
- Crystal system: cubic
- Spin magnetization: 0.84 μB/f.u.
- Offset from the most stable computed form: 0 meV per atom

=====

# 10
DFT (GGA-PBE) results for an optimized crystal structure of ZnS.

Geometry as CIF:
```
data_ZnS
_chemical_formula_sum 'Zn26 S26'
_cell_length_a 3.8314
_cell_length_b 3.8314
_cell_length_c 81.4735
_cell_angle_alpha 90.00
_cell_angle_beta 90.00
_cell_angle_gamma 120.00
_symmetry_space_group_name_H-M 'P 3 m 1'
_symmetry_Int_Tables_number 156
loop_
_symmetry_equiv_pos_as_xyz
'x,y,z'
'-y,x-y,z'
'-x+y,-x,z'
'-y,-x,z'
'-x+y,y,z'
'x,x-y,z'
loop_
_atom_site_label
_atom_site_type_symbol
_atom_site_fract_x
_atom_site_fract_y
_atom_site_fract_z
Zn1 Zn 0.0000 0.0000 0.0000
Zn2 Zn 0.0000 0.0000 0.0770
Zn3 Zn 0.0000 0.0000 0.1923
Zn4 Zn 0.0000 0.0000 0.2693
Zn5 Zn 0.0000 0.0000 0.4231
Zn6 Zn 0.0000 0.0000 0.5005
Zn7 Zn 0.0000 0.0000 0.5766
Zn8 Zn 0.0000 0.0000 0.6923
Zn9 Zn 0.0000 0.0000 0.7692
Zn10 Zn 0.0000 0.0000 0.8846
Zn11 Zn 0.3333 0.6667 0.0385
Zn12 Zn 0.3333 0.6667 0.1539
Zn13 Zn 0.3333 0.6667 0.3077
Zn14 Zn 0.3333 0.6667 0.3846
Zn15 Zn 0.3333 0.6667 0.6538
Zn16 Zn 0.3333 0.6667 0.8077
Zn17 Zn 0.3333 0.6667 0.9231
Zn18 Zn 0.6667 0.3333 0.1154
Zn19 Zn 0.6667 0.3333 0.2308
Zn20 Zn 0.6667 0.3333 0.3462
Zn21 Zn 0.6667 0.3333 0.4617
Zn22 Zn 0.6667 0.3333 0.5394
Zn23 Zn 0.6667 0.3333 0.6152
Zn24 Zn 0.6667 0.3333 0.7308
Zn25 Zn 0.6667 0.3333 0.8462
Zn26 Zn 0.6667 0.3333 0.9615
S1 S 0.0000 0.0000 0.0288
S2 S 0.0000 0.0000 0.1058
S3 S 0.0000 0.0000 0.2211
S4 S 0.0000 0.0000 0.2981
S5 S 0.0000 0.0000 0.4520
S6 S 0.0000 0.0000 0.5296
S7 S 0.0000 0.0000 0.6055
S8 S 0.0000 0.0000 0.7211
S9 S 0.0000 0.0000 0.7981
S10 S 0.0000 0.0000 0.9135
S11 S 0.3333 0.6667 0.0674
S12 S 0.3333 0.6667 0.1827
S13 S 0.3333 0.6667 0.3365
S14 S 0.3333 0.6667 0.4135
S15 S 0.3333 0.6667 0.5656
S16 S 0.3333 0.6667 0.6827
S17 S 0.3333 0.6667 0.8366
S18 S 0.3333 0.6667 0.9519
S19 S 0.6667 0.3333 0.1442
S20 S 0.6667 0.3333 0.2597
S21 S 0.6667 0.3333 0.3751
S22 S 0.6667 0.3333 0.4907
S23 S 0.6667 0.3333 0.6441
S24 S 0.6667 0.3333 0.7596
S25 S 0.6667 0.3333 0.8750
S26 S 0.6667 0.3333 0.9904
```

Output
- Crystal system: trigonal
- Uncorrected energy: -181.72 eV for the cell shown